No. 1
{"formula": "TlSeIBr2", "functional": "PBE-GGA", "state": "relaxed", "lattice_angstrom": [[5.6584, 0.0000, 0.0000], [0.0000, 5.6584, 0.0000], [0.0000, 0.0000, 5.5609]], "species": ["I", "Br", "Tl", "Se", "Br"], "frac_coords": [[0.0000, 0.0000, 0.5000], [0.5000, 0.0000, 0.0000], [0.5000, 0.5000, 0.5000], [0.0000, 0.0000, 0.0000], [0.0000, 0.5000, 0.0000]], "space_group": "P4/mmm, No. 123", "magmom_total_mub_per_cell": 0.0, "raw_formation_energy_ev_per_atom": -0.24}


No. 2
{"formula": "Cs2LiCeCl6", "functional": "PBE-GGA", "state": "relaxed", "lattice_angstrom": [[7.6573, 0.0000, 0.0000], [3.8287, 6.6314, 0.0000], [3.8287, 2.2105, 12.7626]], "species": ["Cl", "Li", "Cs", "Cl", "Li", "Cl", "Cs", "Cs", "Cl", "Cl", "Cs", "Cl", "Cl", "Cl", "Cl", "Ce", "Cl", "Ce", "Cl", "Cl"], "frac_coords": [[0.3827, 0.3827, 0.3669], [0.5918, 0.5918, 0.2246], [0.7131, 0.7131, 0.8607], [0.2113, 0.7023, 0.8751], [0.4082, 0.4082, 0.7754], [0.7023, 0.2113, 0.8751], [0.8755, 0.8755, 0.3736], [0.2869, 0.2869, 0.1393], [0.8677, 0.3827, 0.3669], [0.3827, 0.8677, 0.3669], [0.1245, 0.1245, 0.6264], [0.6173, 0.6173, 0.6331], [0.6173, 0.1323, 0.6331], [0.2113, 0.2113, 0.8751], [0.7887, 0.7887, 0.1249], [0.5000, 0.5000, 0.5000], [0.2977, 0.7887, 0.1249], [0.0000, 0.0000, 0.0000], [0.1323, 0.6173, 0.6331], [0.7887, 0.2977, 0.1249]], "space_group": "R-3m, No. 166", "magmom_total_mub_per_cell": 2.0, "raw_formation_energy_ev_per_atom": -2.08}


No. 3
{"formula": "Rb3Y3ZrS8", "functional": "PBE-GGA", "state": "relaxed", "lattice_angstrom": [[7.9696, -0.0001, 0.0000], [-3.9849, 6.9031, -0.0295], [0.0000, -4.5720, 7.8556]], "species": ["S", "Rb", "S", "Zr", "S", "Y", "S", "S", "S", "Y", "S", "Rb", "Rb", "S", "Y"], "frac_coords": [[0.7447, 0.9647, 0.6846], [0.0000, 0.0000, 0.0000], [0.7800, 0.5599, 0.3154], [0.0000, 0.0000, 0.5000], [0.2200, 0.9647, 0.6846], [0.5000, 0.5000, 0.5000], [0.2200, 0.4401, 0.6846], [0.2553, 0.0353, 0.3154], [0.2695, 0.5390, 0.3086], [0.0000, 0.5000, 0.5000], [0.7305, 0.4610, 0.6914], [0.0000, 0.5000, 0.0000], [0.5000, 0.5000, 0.0000], [0.7800, 0.0353, 0.3154], [0.5000, 0.0000, 0.5000]], "space_group": "R-3m, No. 166", "magmom_total_mub_per_cell": 0.0, "raw_formation_energy_ev_per_atom": -1.81}


No. 4
{"formula": "BaSmInAg", "functional": "PBE-GGA", "state": "relaxed", "lattice_angstrom": [[5.6343, 0.0000, 0.0000], [2.8172, 4.8795, 0.0000], [2.8172, 1.6265, 4.6004]], "species": ["In", "Sm", "Ag", "Ba"], "frac_coords": [[0.7500, 0.7500, 0.7500], [0.0000, 0.0000, 0.0000], [0.2500, 0.2500, 0.2500], [0.5000, 0.5000, 0.5000]], "space_group": "F-43m, No. 216", "magmom_total_mub_per_cell": 0.0, "delta_e_f_ev_per_atom": -0.23}


No. 5
{"formula": "Ac8La2Pb", "functional": "PBE-GGA", "state": "relaxed", "lattice_angstrom": [[-5.1457, -1.7206, 2.4207], [4.2509, -3.3243, 6.6734], [0.2385, 10.2055, 0.4699]], "species": ["Ac", "Ac", "La", "Ac", "Ac", "Ac", "Ac", "Pb", "La", "Ac", "Ac"], "frac_coords": [[0.1777, 0.2315, 0.3554], [0.9789, 0.2339, 0.9578], [0.8075, 0.3399, 0.6150], [0.8223, 0.7685, 0.6446], [0.6666, 0.9265, 0.3332], [0.6026, 0.4366, 0.2051], [0.3334, 0.0735, 0.6668], [0.5000, 0.0000, 0.0000], [0.1925, 0.6601, 0.3850], [0.3974, 0.5634, 0.7949], [0.0211, 0.7661, 0.0422]], "space_group": "C2/m, No. 12", "magmom_total_mub_per_cell": 0.0, "delta_e_f_ev_per_atom": -0.02}